1.
Entry from the Alexandria database: a geometry-optimized Zr2TaH structure (GGA-PBE).

abc: 6.584 6.584 6.584
angles: 90.00 90.00 90.00
Space group Fm-3m (No. 225)
Asymmetric unit:
Zr  0.250  0.250  0.250 [8 per cell]
Ta  0.000  0.000  0.000 [4 per cell]
H  0.000  0.000  0.500 [4 per cell]

Values from the calculation:
As for the energy above the lowest structure with this stoichiometry: 515 meV/atom. As for the magnetization: 0.000 μB/atom.

***

2.
Entry from the Alexandria database: a geometry-optimized Zr2TaH6 structure (GGA-PBE).

abc: 5.186 4.844 8.322
angles: 90.00 123.99 90.00
Space group P2_1/c (No. 14)
Asymmetric unit:
Zr  0.232  0.007  0.245 [4 per cell]
Ta  0.500  0.000  0.000 [2 per cell]
H  0.167  0.247  0.934 [4 per cell]
H  0.172  0.746  0.932 [4 per cell]
H  0.362  0.077  0.740 [4 per cell]

Values from the calculation:
For the total energy, the calculation gives -5.729 eV per atom. As for the magnetization: 0.000 μB/atom.

***

3.
Entry from the Alexandria database: a geometry-optimized ZrTaH2 structure (GGA-PBE).

abc: 5.208 3.032 5.890
angles: 90.00 90.94 90.00
Space group P2/c (No. 13)
Asymmetric unit:
Zr  0.000  0.209  0.250 [2 per cell]
Ta  0.500  0.500  0.000 [2 per cell]
H  0.157  0.295  0.936 [4 per cell]

Values from the calculation:
As for the energy above the lowest structure with this stoichiometry: 83 meV/atom. As for the magnetization: 0.000 μB/atom.

***

4.
Entry from the Alexandria database: a geometry-optimized ZrTaH2 structure (GGA-PBE).

abc: 5.029 5.029 7.221
angles: 90.00 90.00 90.00
Space group I-42d (No. 122)
Asymmetric unit:
Zr  0.000  0.000  0.000 [4 per cell]
Ta  0.000  0.000  0.500 [4 per cell]
H  0.229  0.250  0.625 [8 per cell]

Values from the calculation:
As for the energy above the lowest structure with this stoichiometry: 0 meV/atom. As for the magnetization: 0.000 μB/atom.

***

5.
Entry from the Alexandria database: a geometry-optimized ZrTaH structure (GGA-PBE).

abc: 3.017 3.017 10.433
angles: 90.05 90.24 113.83
Space group P1 (No. 1)
Asymmetric unit:
Zr  0.000  0.000  0.000 [1 per cell]
Zr  0.498  0.502  0.264 [1 per cell]
Ta  0.009  0.993  0.521 [1 per cell]
Ta  0.508  0.490  0.743 [1 per cell]
H  0.160  0.841  0.819 [1 per cell]
H  0.658  0.341  0.446 [1 per cell]

Values from the calculation:
For the total energy, the calculation gives -8.048 eV per atom. As for the magnetization: 0.000 μB/atom.

***

6.
Entry from the Alexandria database: a geometry-optimized ZrTa3H structure (GGA-PBE).

abc: 4.940 4.940 4.940
angles: 90.00 90.00 90.00
Space group Pm-3m (No. 221)
Asymmetric unit:
Zr  0.000  0.000  0.000 [1 per cell]
Ta  0.000  0.000  0.500 [3 per cell]
H  0.500  0.500  0.500 [1 per cell]

Values from the calculation:
As for the energy above the lowest structure with this stoichiometry: 2503 meV/atom. As for the magnetization: 0.000 μB/atom.

***

7.
Entry from the Alexandria database: a geometry-optimized Tb8H structure (GGA-PBE).

abc: 7.2452 7.2452 5.6808
angles: 90.00 90.00 120.00
Space group P-3m1 (No. 164)
Asymmetric unit:
Tb  0.1651  0.3302  0.2488 [6 per cell]
Tb  0.3333  0.6667  0.7386 [2 per cell]
H  0.0000  0.0000  0.5000 [1 per cell]

Values from the calculation:
For the total energy, the calculation gives -4.556 eV per atom. As for the magnetization: 0.000 μB/atom.

***

8.
Entry from the Alexandria database: a geometry-optimized TbH3 structure (GGA-PBE).

abc: 6.3422 6.3422 6.5945
angles: 90.00 90.00 120.00
Space group P-3c1 (No. 165)
Asymmetric unit:
Tb  0.0000  0.3367  0.2500 [6 per cell]
H  0.0000  0.0000  0.2500 [2 per cell]
H  0.0282  0.3499  0.5927 [12 per cell]
H  0.3333  0.6667  0.3179 [4 per cell]

Values from the calculation:
For the total energy, the calculation gives -4.296 eV per atom. As for the magnetization: 0.000 μB/atom.

***

9.
Entry from the Alexandria database: a geometry-optimized Tb3H2 structure (GGA-PBE).

abc: 6.3135 6.3135 16.6186
angles: 90.00 90.00 120.00
Space group R-3c (No. 167, hexagonal axes)
Asymmetric unit:
Tb  0.0000  0.3320  0.2500 [18 per cell]
H  0.0000  0.0000  0.1674 [12 per cell]

Values from the calculation:
For the total energy, the calculation gives -4.408 eV per atom. As for the magnetization: 0.000 μB/atom.

***

10.
Entry from the Alexandria database: a geometry-optimized TbH3 structure (GGA-PBE).

abc: 3.6763 3.6763 6.5951
angles: 90.00 90.00 120.00
Space group P6_3/mmc (No. 194)
Asymmetric unit:
Tb  0.3333  0.6667  0.2500 [2 per cell]
H  0.0000  0.0000  0.2500 [2 per cell]
H  0.3333  0.6667  0.5942 [4 per cell]

Values from the calculation:
For the total energy, the calculation gives -4.288 eV per atom. As for the magnetization: 0.000 μB/atom.

***

11.
Entry from the Alexandria database: a geometry-optimized TbH3 structure (GGA-PBE).

abc: 3.311 3.311 3.311
angles: 90.00 90.00 90.00
Space group Pm-3m (No. 221)
Asymmetric unit:
Tb  0.000  0.000  0.000 [1 per cell]
H  0.000  0.500  0.500 [3 per cell]

Values from the calculation:
For the total energy, the calculation gives -4.090 eV per atom. As for the magnetization: 0.000 μB/atom.

***

12.
Entry from the Alexandria database: a geometry-optimized TbH4 structure (GGA-PBE).

abc: 4.238 4.238 4.238
angles: 90.00 90.00 90.00
Space group Pm-3m (No. 221)
Asymmetric unit:
Tb  0.000  0.000  0.000 [1 per cell]
H  0.000  0.000  0.500 [3 per cell]
H  0.500  0.500  0.500 [1 per cell]

Values from the calculation:
For the total energy, the calculation gives -3.332 eV per atom. As for the magnetization: 0.200 μB/atom.

***

Which of these has the highest magnetization?
TbH4